# 1
This record from the Alexandria database describes a relaxed La2Sb3Pd4Pb crystal. The functional is GGA-PBE.

VASP energy   -5.498 eV/atom
Formation energy without anion corrections   -828 meV per atom
Crystal system   tetragonal

Cell lengths 4.596, 4.596, 11.166 Å; angles 90.00, 90.00, 90.00 degrees
Positions (direct):
La 0.000 0.500 0.234
La 0.500 0.000 0.766
Sb 0.000 0.500 0.872
Sb 0.500 0.000 0.128
Sb 0.500 0.500 0.500
Pd 0.000 0.000 0.000
Pd 0.000 0.500 0.641
Pd 0.500 0.000 0.359
Pd 0.500 0.500 0.000
Pb 0.000 0.000 0.500

=====

# 2
This record from the Alexandria database describes a relaxed LaPd2PbSe crystal. The functional is GGA-PBE.

VASP energy   -4.661 eV/atom
Formation energy without anion corrections   -160 meV per atom
Crystal system   tetragonal

Cell lengths 5.016, 5.016, 5.657 Å; angles 90.00, 90.00, 90.00 degrees
Positions (direct):
La 0.000 0.000 0.000
Pd 0.000 0.500 0.500
Pd 0.500 0.000 0.500
Pb 0.500 0.500 0.500
Se 0.500 0.500 0.000

=====

# 3
This record from the Alexandria database describes a relaxed LaSnPdPb2 crystal. The functional is GGA-PBE.

VASP energy   -4.478 eV/atom
Formation energy   -0.170 eV per atom
Crystal system   tetragonal

Cell lengths 5.432, 5.432, 5.153 Å; angles 90.00, 90.00, 90.00 degrees
Positions (direct):
La 0.000 0.000 0.000
Sn 0.500 0.500 0.000
Pd 0.500 0.500 0.500
Pb 0.000 0.500 0.500
Pb 0.500 0.000 0.500

=====

# 4
This record from the Alexandria database describes a relaxed La2SnPd6Pb crystal. The functional is GGA-PBE.

VASP energy   -5.478 eV/atom
Formation energy   -0.606 eV per atom
Crystal system   triclinic

Cell lengths 5.696, 6.710, 6.850 Å; angles 86.39, 65.53, 64.91 degrees
Positions (direct):
La 0.249 0.255 0.246
La 0.751 0.745 0.754
Sn 0.500 0.500 0.500
Pd 0.192 0.315 0.802
Pd 0.252 0.945 0.552
Pd 0.309 0.685 0.198
Pd 0.691 0.315 0.802
Pd 0.748 0.055 0.448
Pd 0.808 0.685 0.198
Pb 0.000 0.000 0.000